Record 1
! PBE-GGA Ag2TePt, optimized geometry; values from VASP
! Magnetic moment (μB per formula unit): 0.000
! ρ (Mg/m³): 11.55
! DFT total energy (eV/atom): -3.5933
! Space group: F-43m (216)
&SYSTEM
  ibrav = 0, nat = 4, ntyp = 3
/
ATOMIC_SPECIES
Te 127.60 Te.upf
Ag 107.87 Ag.upf
Pt 195.08 Pt.upf
CELL_PARAMETERS angstrom
-2.423 3.401 2.333
-4.769 0.191 -0.326
-2.703 -1.151 3.775
ATOMIC_POSITIONS crystal
Te 0.250 0.250 0.250
Ag 0.000 0.000 0.000
Ag 0.750 0.750 0.750
Pt 0.500 0.500 0.500

---

Record 2
! PBE-GGA Ac2LaNd3, optimized geometry; values from VASP
! Magnetic moment (μB per formula unit): 0.000
! ρ (Mg/m³): 7.31
! ΔH_f (0 K) (eV/atom): 0.023
! Space group: C2/m (12)
&SYSTEM
  ibrav = 0, nat = 12, ntyp = 3
/
ATOMIC_SPECIES
Ac 227.00 Ac.upf
Nd 144.24 Nd.upf
La 138.91 La.upf
CELL_PARAMETERS angstrom
-1.059 -10.035 -0.521
-0.191 -9.206 -4.160
11.634 -5.626 1.496
ATOMIC_POSITIONS crystal
Ac 0.196 0.196 0.130
Ac 0.473 0.473 0.872
Ac 0.804 0.804 0.870
Ac 0.527 0.527 0.128
Nd 0.250 0.250 0.380
Nd 0.581 0.581 0.383
Nd 0.750 0.750 0.620
Nd 0.914 0.914 0.381
Nd 0.419 0.419 0.617
Nd 0.086 0.086 0.619
La 0.139 0.139 0.872
La 0.861 0.861 0.128